Material: PdPbSO
Method: DFT, PBE-GGA
State: relaxed

The structure in extended XYZ format:
```
8
Lattice="-1.770 -3.379 1.800 0.064 -2.009 -3.708 7.835 -3.129 1.831" Properties=species:S:1:pos:R:3 pbc="T T T"
S 2.606 -4.601 1.338
S 3.523 -3.916 -1.416
Pd 3.599 -5.989 -0.292
Pd 2.531 -2.528 0.214
Pb 6.274 -4.023 1.089
Pb -0.145 -4.494 -1.166
O 0.409 -1.681 -0.282
O 5.721 -6.836 0.204
```

Calculated values
Calculated density: 7.8 g cm⁻³
Raw total energy: -4.8452 eV per atom
Polymorph energy (0 for the lowest one): 0.254 eV/atom
SG: P4/nmm